Entry 1:
VASP calculation (PBE-GGA) on a relaxed TaCo3H crystal.

Structure (POSCAR):
```
TaCo3H
1.0
2.3770 -6.4742 0.0000
2.3770 6.4742 0.0000
0.0000 0.0000 4.3071
Ta Co H
2 6 2
Cartesian
2.3770 3.8947 3.2303 Ta
2.3770 -3.8947 1.0768 Ta
0.0000 0.0000 0.0000 Co
0.0000 0.0000 2.1536 Co
1.1975 1.7701 3.2303 Co
1.1975 -1.7701 1.0768 Co
3.5566 1.7701 3.2303 Co
3.5566 -1.7701 1.0768 Co
2.3770 0.6722 3.2303 H
2.3770 -0.6722 1.0768 H
```

Polymorph energy (0 for the lowest one), eV/atom: 0.673
DFT total energy, eV for the cell shown: -68.71

Entry 2:
VASP calculation (PBE-GGA) on a relaxed TaCo3H crystal.

Structure (POSCAR):
```
TaCo3H
1.0
-2.0596 2.0596 8.7507
2.0596 -2.0596 8.7507
2.0596 2.0596 -8.7507
Ta Co H
2 6 2
Cartesian
0.0000 0.0000 0.0000 Ta
0.0000 2.0596 4.3753 Ta
0.0000 0.0000 6.1636 Co
0.0000 1.0018 2.1479 Co
0.0000 0.0000 11.3378 Co
-1.0578 2.0596 6.6028 Co
1.0578 2.0596 6.6028 Co
0.0000 3.1175 2.1479 Co
2.0596 0.0000 2.3324 H
2.0596 0.0000 6.4183 H
```

Polymorph energy (0 for the lowest one), eV/atom: 1.345
DFT total energy, eV for the cell shown: -62.00